Entry 1:
Computed, not measured: a geometry-optimized CaGaCu4 structure at the PBE-GGA level of DFT.

Unit cell a=7.986 b=7.986 c=6.218 alpha=90.00 beta=90.00 gamma=150.89
Positions (direct):
1 Ca 0.112 0.888 0.750
2 Ca 0.888 0.112 0.250
3 Ga 0.236 0.764 0.250
4 Ga 0.764 0.236 0.750
5 Cu 0.074 0.926 0.250
6 Cu 0.338 0.662 0.561
7 Cu 0.338 0.662 0.939
8 Cu 0.500 0.500 0.000
9 Cu 0.500 0.500 0.500
10 Cu 0.662 0.338 0.061
11 Cu 0.662 0.338 0.439
12 Cu 0.926 0.074 0.750

Computed properties:
ΔH_f (0 K): -38 kJ/mol of formula units
density of states at the Fermi level: 3.97 states/eV per cell
V: 193.0 Å³ per cell
calculated total energy: -3.634 eV/atom
size of the total moment: 0.0 μB per cell
space-group type: Cmcm, No. 63

Entry 2:
Computed, not measured: a geometry-optimized Pr3TcN5 structure at the PBE-GGA level of DFT.

Unit cell a=7.556 b=7.556 c=7.556 alpha=126.10 beta=126.10 gamma=79.72
Positions (direct):
1 Pr 0.173 0.673 0.847
2 Pr 0.250 0.250 0.000
3 Pr 0.327 0.173 0.500
4 Pr 0.673 0.827 0.500
5 Pr 0.750 0.750 0.000
6 Pr 0.827 0.327 0.153
7 Tc 0.250 0.750 0.500
8 Tc 0.750 0.250 0.500
9 N 0.000 0.000 0.000
10 N 0.002 0.799 0.500
11 N 0.201 0.701 0.203
12 N 0.299 0.502 0.500
13 N 0.498 0.998 0.797
14 N 0.500 0.500 0.000
15 N 0.502 0.002 0.203
16 N 0.701 0.498 0.500
17 N 0.799 0.299 0.797
18 N 0.998 0.201 0.500

Computed properties:
density of states at the Fermi level: 1.85 states/eV per cell
V: 272.1 Å³ per cell
calculated total energy: -8.279 eV/atom
formation energy without anion corrections: -909 meV per atom
size of the total moment: 0.0 μB per cell
space-group type: I4/mcm, No. 140

Entry 3:
Computed, not measured: a geometry-optimized BeCd2 structure at the PBE-GGA level of DFT.

Unit cell a=3.591 b=3.591 c=8.387 alpha=90.00 beta=90.00 gamma=90.00
Positions (direct):
1 Be 0.000 0.000 0.000
2 Be 0.500 0.500 0.500
3 Cd 0.000 0.000 0.336
4 Cd 0.000 0.000 0.664
5 Cd 0.500 0.500 0.164
6 Cd 0.500 0.500 0.836

Computed properties:
ΔH_f (0 K): 124 kJ/mol of formula units
density of states at the Fermi level: 1.84 states/eV per cell
V: 108.1 Å³ per cell
calculated total energy: -1.425 eV/atom
size of the total moment: 0.0 μB per cell
space-group type: I4/mmm, No. 139

Entry 4:
Computed, not measured: a geometry-optimized MgTc2Ir structure at the PBE-GGA level of DFT.

Unit cell a=7.457 b=7.457 c=5.043 alpha=90.00 beta=90.00 gamma=90.00
Positions (direct):
1 Mg 0.000 0.000 0.000
2 Mg 0.000 0.500 0.250
3 Mg 0.500 0.000 0.750
4 Mg 0.500 0.500 0.500
5 Tc 0.201 0.250 0.625
6 Tc 0.250 0.701 0.875
7 Tc 0.250 0.799 0.375
8 Tc 0.299 0.250 0.125
9 Tc 0.701 0.750 0.125
10 Tc 0.750 0.201 0.375
11 Tc 0.750 0.299 0.875
12 Tc 0.799 0.750 0.625
13 Ir 0.000 0.000 0.500
14 Ir 0.000 0.500 0.750
15 Ir 0.500 0.000 0.250
16 Ir 0.500 0.500 0.000

Computed properties:
ΔH_f (0 K): 214 kJ/mol of formula units
density of states at the Fermi level: 14.32 states/eV per cell
V: 280.5 Å³ per cell
calculated total energy: -7.242 eV/atom
size of the total moment: 0.0 μB per cell
space-group type: I-42d, No. 122